Density functional theory data (PBE-GGA) for an optimized crystal structure of LiMo3Os.

Calculated values
ΔH_f (0 K): 1.55 eV per atom
ΔE to the lowest computed polymorph: 294 meV/atom
Raw total energy: -7.580 eV/atom

Geometry as CIF:
```
data_LiMo3Os
_cell_length_a 4.782
_cell_length_b 4.782
_cell_length_c 4.782
_cell_angle_alpha 90.00
_cell_angle_beta 90.00
_cell_angle_gamma 90.00
_space_group_name_H-M_alt 'P 1'
_space_group_IT_number 1
loop_
_space_group_symop_operation_xyz
'x,y,z'
loop_
_atom_site_label
_atom_site_type_symbol
_atom_site_fract_x
_atom_site_fract_y
_atom_site_fract_z
_atom_site_occupancy
Li1 Li 0.000 0.000 0.000 1
Mo1 Mo 0.000 0.500 0.500 1
Mo2 Mo 0.500 0.000 0.500 1
Mo3 Mo 0.500 0.500 0.000 1
Os1 Os 0.500 0.500 0.500 1
```